No. 1
Compound: NaFe2H3S2O8
Source: Alexandria via LeMat-Bulk
Functional: GGA+U
Structure: optimized geometry

Lattice parameters (Å, degrees): 6.419 9.089 7.960 99.91 111.73 110.11
Element x y z (fractional)
O: 0.025 0.925 0.140
O: 0.587 0.709 0.504
O: 0.507 0.847 0.829
O: 0.176 0.729 0.256
O: 0.269 0.635 0.921
O: 0.910 0.200 0.245
O: 0.784 0.729 0.250
O: 0.413 0.291 0.496
O: 0.731 0.365 0.079
O: 0.299 0.433 0.148
O: 0.975 0.075 0.860
O: 0.216 0.271 0.750
O: 0.493 0.153 0.171
O: 0.824 0.271 0.744
O: 0.701 0.567 0.852
O: 0.090 0.800 0.755
H: 0.603 0.491 0.717
H: 0.693 0.732 0.438
H: 0.443 0.733 0.436
H: 0.307 0.268 0.562
H: 0.557 0.267 0.564
H: 0.397 0.509 0.283
S: 0.941 0.156 0.701
S: 0.760 0.298 0.253
S: 0.059 0.844 0.299
S: 0.240 0.702 0.747
Na: 0.577 0.914 0.174
Na: 0.423 0.086 0.826
Fe: 0.189 0.191 0.174
Fe: 0.811 0.809 0.826
Fe: 0.000 0.500 0.000
Fe: 0.500 0.500 0.000

Electronic total energy ... -182.744 eV per cell
Magnetic moment ... 14.023 Bohr magnetons per cell
Calculated volume ... 11.89 Å³/atom
Crystal system ... triclinic

***

No. 2
Compound: NaFe6H12S4O29
Source: Alexandria via LeMat-Bulk
Functional: GGA+U
Structure: optimized geometry

Lattice parameters (Å, degrees): 7.396 7.015 10.246 86.51 90.00 90.00
Element x y z (fractional)
H: 0.291 0.325 0.990
H: 0.000 0.029 0.690
H: 0.291 0.675 0.010
H: 0.709 0.325 0.990
H: 0.709 0.675 0.010
H: 0.500 0.505 0.203
H: 0.000 0.971 0.310
H: 0.500 0.495 0.797
H: 0.207 0.193 0.508
H: 0.793 0.807 0.492
H: 0.793 0.193 0.508
H: 0.207 0.807 0.492
O: 0.835 0.515 0.668
O: 0.500 0.711 0.898
O: 0.000 0.855 0.260
O: 0.185 0.666 0.068
O: 0.835 0.485 0.332
O: 0.000 0.801 0.598
O: 0.185 0.334 0.932
O: 0.500 0.289 0.102
O: 0.308 0.170 0.571
O: 0.165 0.515 0.668
O: 0.500 0.838 0.673
O: 0.000 0.307 0.172
O: 0.308 0.830 0.429
O: 0.815 0.334 0.932
O: 0.665 0.998 0.161
O: 0.692 0.830 0.429
O: 0.000 0.199 0.402
O: 0.000 0.693 0.828
O: 0.815 0.666 0.068
O: 0.665 0.002 0.839
O: 0.500 0.635 0.234
O: 0.692 0.170 0.571
O: 0.500 0.500 0.500
O: 0.335 0.002 0.839
O: 0.000 0.145 0.740
O: 0.500 0.162 0.327
O: 0.335 0.998 0.161
O: 0.165 0.485 0.332
O: 0.500 0.365 0.766
S: 0.500 0.888 0.812
S: 0.000 0.632 0.692
S: 0.500 0.112 0.188
S: 0.000 0.368 0.308
Fe: 0.751 0.259 0.749
Fe: 0.000 0.500 0.000
Fe: 0.249 0.259 0.749
Fe: 0.249 0.741 0.251
Fe: 0.751 0.741 0.251
Fe: 0.500 0.000 0.500
Na: 0.000 0.000 0.000

Electronic total energy ... -298.796 eV per cell
Magnetic moment ... 30.381 Bohr magnetons per cell
Calculated volume ... 10.20 Å³/atom
Crystal system ... monoclinic